1.
Hf2Sc4S9: optimized geometry, PBE.

The energy relative to the elements, uncorrected comes out at -1.7371 eV/atom. The total energy comes out at -7.229 eV per atom. Its symmetry is No. 165.

```
30
Lattice="6.4153 0.0000 0.0000 -3.2076 5.5558 0.0000 0.0000 0.0000 17.7781" Properties=species:S:1:pos:R:3 pbc="T T T"
Hf 0.0000 0.0000 2.8436
Hf 0.0000 0.0000 6.0455
Hf 0.0000 0.0000 11.7327
Hf 0.0000 0.0000 14.9345
Sc 0.0000 3.7039 0.2045
Sc 0.0000 3.7039 5.7838
Sc 0.0000 3.7039 9.0936
Sc 0.0000 3.7039 14.6729
Sc 3.2076 1.8519 3.1053
Sc 3.2076 1.8519 8.6846
Sc 3.2076 1.8519 11.9943
Sc 3.2076 1.8519 17.5737
S -1.0112 1.7515 4.4445
S -2.1964 3.8043 13.3336
S -0.9734 1.9279 16.3029
S -2.0247 3.7488 7.4138
S 2.0225 0.0000 4.4445
S 1.0112 1.7515 13.3336
S 0.9734 1.9279 7.4138
S -1.0513 5.4348 16.3029
S 2.1563 0.1210 10.3643
S 1.1830 1.8069 1.4753
S 2.0247 3.7488 16.3029
S 1.0513 5.4348 7.4138
S 4.2589 0.1210 1.4753
S 2.2342 3.6278 10.3643
S 4.3928 0.0000 13.3336
S 2.1964 3.8043 4.4445
S 5.2323 1.8069 10.3643
S 4.1810 3.6278 1.4753
```

---

2.
CeZnHgBi: optimized geometry, PBE.

The total energy comes out at -3.068 eV per atom. Its symmetry is No. 216. The calculation puts the formation energy at -0.2207 eV/atom.

```
16
Lattice="7.4723 0.0000 0.0000 0.0000 7.4723 0.0000 0.0000 0.0000 7.4723" Properties=species:S:1:pos:R:3 pbc="T T T"
Ce 0.0000 0.0000 0.0000
Ce 0.0000 3.7362 3.7362
Ce 3.7362 0.0000 3.7362
Ce 3.7362 3.7362 0.0000
Zn 1.8681 1.8681 5.6042
Zn 1.8681 5.6042 1.8681
Zn 5.6042 1.8681 1.8681
Zn 5.6042 5.6042 5.6042
Hg 1.8681 1.8681 1.8681
Hg 1.8681 5.6042 5.6042
Hg 5.6042 1.8681 5.6042
Hg 5.6042 5.6042 1.8681
Bi 0.0000 0.0000 3.7362
Bi 0.0000 3.7362 0.0000
Bi 3.7362 0.0000 0.0000
Bi 3.7362 3.7362 3.7362
```

---

3.
AlSb2SeN: optimized geometry, PBE.

The energy relative to the elements, uncorrected comes out at 0.3259 eV/atom. The total energy comes out at -4.434 eV per atom. Its symmetry is No. 123.

```
5
Lattice="5.3628 0.0000 0.0000 0.0000 5.3628 0.0000 0.0000 0.0000 3.6283" Properties=species:S:1:pos:R:3 pbc="T T T"
Al 0.0000 0.0000 0.0000
Sb 0.0000 2.6814 1.8141
Sb 2.6814 0.0000 1.8141
Se 2.6814 2.6814 0.0000
N 0.0000 0.0000 1.8141
```

---

4.
NdEr8Pb2: optimized geometry, PBE.

The total energy comes out at -4.496 eV per atom. Its symmetry is No. 12. The calculation puts the formation energy at -0.0695 eV/atom.

```
11
Lattice="8.2037 -3.3322 0.0000 8.2037 3.3322 0.0000 -0.4071 0.0000 6.2492" Properties=species:S:1:pos:R:3 pbc="T T T"
Nd 0.0000 0.0000 0.0000
Er 6.3766 1.6414 3.7472
Er 3.1357 0.0000 5.2576
Er 9.6237 1.6414 2.5020
Er 6.7989 0.0000 0.7284
Er 9.2014 0.0000 5.5208
Er 6.3766 -1.6414 3.7472
Er 12.8646 0.0000 0.9916
Er 9.6237 -1.6414 2.5020
Pb 4.0671 0.0000 2.1272
Pb 11.9332 0.0000 4.1220
```